Entry 1
Entry from Alexandria: crystalline ZnSnPCl2 at its relaxed geometry (GGA-PBE).

For the volume, the calculation gives 22.8 A^3/atom. The magnetic moment is 0.00 μB/cell.

Cell lengths 4.7218, 4.7218, 5.1026 Å; angles 90.00, 90.00, 90.00 degrees
Last column: nearest neighbours and their distance in Å.
Space group P4/mmm (No. 123)
Symmetry-distinct sites (fractional):
Zn  0.0000  0.0000  0.0000 [1 per cell]  4 Cl 2.36, 2 P 2.55
Sn  0.5000  0.5000  0.5000 [1 per cell]  4 P 3.34, 8 Cl 3.48
P  0.0000  0.0000  0.5000 [1 per cell]  2 Zn 2.55
Cl  0.0000  0.5000  0.0000 [2 per cell]  2 Zn 2.36


Entry 2
Entry from Alexandria: crystalline ZnSnPCl2 at its relaxed geometry (GGA-PBE).

For the volume, the calculation gives 28.2 A^3/atom. The magnetic moment is 0.16 μB/cell.

Cell lengths 5.1647, 5.1647, 5.2894 Å; angles 90.00, 90.00, 90.00 degrees
Last column: nearest neighbours and their distance in Å.
Space group P4/mmm (No. 123)
Symmetry-distinct sites (fractional):
Zn  0.0000  0.0000  0.0000 [1 per cell]  4 P 3.65, 8 Cl 3.70
Sn  0.5000  0.5000  0.5000 [1 per cell]  4 Cl 2.58, 2 P 2.64
P  0.5000  0.5000  0.0000 [1 per cell]  2 Sn 2.64
Cl  0.0000  0.5000  0.5000 [2 per cell]  2 Sn 2.58


Which structure is the most stable? The one labeled entry 1.